# LiCr4P | Alexandria via LeMat-Bulk | PBE-GGA | relaxed
# - Formation energy from the elements: 0.43 eV/atom
# - Magnetic moment: 0.0 μB/f.u.
data_LiCr4P
_chemical_formula_sum 'Li4 Cr16 P4'
_symmetry_space_group_name_H-M 'F -4 3 m'
_symmetry_Int_Tables_number 216
_symmetry_space_group_name_Hall 'F -4 2 3'
_cell_length_a 6.660
_cell_length_b 6.660
_cell_length_c 6.660
_cell_angle_alpha 90.00
_cell_angle_beta 90.00
_cell_angle_gamma 90.00
loop_
_atom_site_label
_atom_site_fract_x
_atom_site_fract_y
_atom_site_fract_z
Li1 0.000 0.000 0.000
Cr1 0.126 0.126 0.626
P1 0.250 0.250 0.250